VASP calculation (PBE) on crystalline BeCoI at its relaxed geometry.

Summary:
The energy above the lowest structure with this stoichiometry is 550 meV per atom. The calculation puts the uncorrected formation energy at 0.545 eV/atom. Its symmetry is F-43m, No. 216.

a = 4.046 Å, b = 4.046 Å, c = 4.046 Å
α = 60.00°, β = 60.00°, γ = 60.00°
Sites, in units of the cell vectors:
Be (0.000, 0.000, 0.000)
Co (0.250, 0.250, 0.250)
I (0.500, 0.500, 0.500)